An optimized crystal structure of LiPrCd. Source: OQMD, functional PBE.

Cell lengths 5.073, 5.073, 5.073 Å; angles 60.00, 60.00, 60.00 degrees
Atoms (fractional coordinates):
Cd 0.250 0.250 0.250
Li 0.750 0.750 0.750
Pr 0.000 0.000 0.000

## Properties
Crystal system: cubic
Space-group type: F-43m
Calculated total energy in eV/atom: -2.1826
Mass density in g/cm3: 4.68